Entry one
Density functional theory data (PBE-GGA) for an optimized crystal structure of CaAcIr2.

Unit cell a=4.859 b=4.859 c=3.838 alpha=90.00 beta=90.00 gamma=90.00
Sites, in units of the cell vectors:
1 Ca 0.000 0.000 0.000
2 Ac 0.500 0.500 0.000
3 Ir 0.000 0.500 0.500
4 Ir 0.500 0.000 0.500

SG   P4/mmm (123)
M_tot   0.0 μB/f.u.

***

Entry two
Density functional theory data (PBE-GGA) for an optimized crystal structure of CaAcIr2.

Unit cell a=7.154 b=7.154 c=7.154 alpha=90.00 beta=90.00 gamma=90.00
Sites, in units of the cell vectors:
1 Ca 0.000 0.000 0.000
2 Ca 0.000 0.500 0.500
3 Ca 0.500 0.000 0.500
4 Ca 0.500 0.500 0.000
5 Ac 0.000 0.000 0.500
6 Ac 0.000 0.500 0.000
7 Ac 0.500 0.000 0.000
8 Ac 0.500 0.500 0.500
9 Ir 0.250 0.250 0.250
10 Ir 0.250 0.250 0.750
11 Ir 0.250 0.750 0.250
12 Ir 0.250 0.750 0.750
13 Ir 0.750 0.250 0.250
14 Ir 0.750 0.250 0.750
15 Ir 0.750 0.750 0.250
16 Ir 0.750 0.750 0.750

SG   Fm-3m (225)
M_tot   0.0 μB/f.u.

***

Most favorable structure: entry one. The second most favorable one is 0.008 eV/atom above it.

***

Entry one
Density functional theory data (PBE-GGA) for an optimized crystal structure of CaAc3Ir2.

Unit cell a=8.915 b=8.915 c=8.915 alpha=132.04 beta=72.48 gamma=129.15
Sites, in units of the cell vectors:
1 Ca 0.000 0.000 0.000
2 Ca 0.500 0.500 0.000
3 Ac 0.019 0.250 0.769
4 Ac 0.250 0.750 0.500
5 Ac 0.481 0.250 0.231
6 Ac 0.519 0.750 0.769
7 Ac 0.750 0.250 0.500
8 Ac 0.981 0.750 0.231
9 Ir 0.139 0.710 0.850
10 Ir 0.361 0.210 0.571
11 Ir 0.639 0.790 0.429
12 Ir 0.861 0.290 0.150

SG   Ibam (72)
M_tot   0.0 μB/f.u.

***

Entry two
Density functional theory data (PBE-GGA) for an optimized crystal structure of CaAc3Ir2.

Unit cell a=9.352 b=9.352 c=13.381 alpha=123.96 beta=123.96 gamma=27.14
Sites, in units of the cell vectors:
1 Ca 0.061 0.061 0.198
2 Ca 0.939 0.939 0.802
3 Ac 0.188 0.188 0.553
4 Ac 0.314 0.314 0.946
5 Ac 0.441 0.441 0.306
6 Ac 0.559 0.559 0.694
7 Ac 0.686 0.686 0.054
8 Ac 0.812 0.812 0.447
9 Ir 0.126 0.126 0.875
10 Ir 0.374 0.374 0.626
11 Ir 0.626 0.626 0.374
12 Ir 0.874 0.874 0.125

SG   C2/m (12)
M_tot   0.0 μB/f.u.

***

Most favorable structure: entry one. The second most favorable one is 0.009 eV/atom above it.

***

Entry one
Density functional theory data (PBE-GGA) for an optimized crystal structure of CaAc5Ir4.

Unit cell a=9.532 b=9.532 c=8.427 alpha=104.94 beta=104.94 gamma=26.47
Sites, in units of the cell vectors:
1 Ca 0.000 0.000 0.000
2 Ac 0.000 0.000 0.500
3 Ac 0.336 0.336 0.141
4 Ac 0.339 0.339 0.669
5 Ac 0.661 0.661 0.331
6 Ac 0.664 0.664 0.859
7 Ir 0.175 0.175 0.113
8 Ir 0.500 0.500 0.259
9 Ir 0.500 0.500 0.741
10 Ir 0.825 0.825 0.887

SG   C2/m (12)
M_tot   0.0 μB/f.u.

***

Entry two
Density functional theory data (PBE-GGA) for an optimized crystal structure of CaAc5Ir4.

Unit cell a=10.020 b=10.020 c=7.904 alpha=113.20 beta=113.20 gamma=25.77
Sites, in units of the cell vectors:
1 Ca 0.000 0.000 0.000
2 Ac 0.000 0.000 0.500
3 Ac 0.338 0.338 0.093
4 Ac 0.338 0.338 0.584
5 Ac 0.662 0.662 0.416
6 Ac 0.662 0.662 0.907
7 Ir 0.199 0.199 0.699
8 Ir 0.500 0.500 0.233
9 Ir 0.500 0.500 0.767
10 Ir 0.801 0.801 0.301

SG   C2/m (12)
M_tot   0.0 μB/f.u.

***

Most favorable structure: entry two. The second most favorable one is 0.064 eV/atom above it.

***

Entry one
Density functional theory data (PBE-GGA) for an optimized crystal structure of CaAcNiIr.

Unit cell a=7.136 b=7.136 c=7.136 alpha=90.00 beta=90.00 gamma=90.00
Sites, in units of the cell vectors:
1 Ca 0.000 0.000 0.000
2 Ca 0.000 0.500 0.500
3 Ca 0.500 0.000 0.500
4 Ca 0.500 0.500 0.000
5 Ac 0.000 0.000 0.500
6 Ac 0.000 0.500 0.000
7 Ac 0.500 0.000 0.000
8 Ac 0.500 0.500 0.500
9 Ni 0.250 0.250 0.250
10 Ni 0.250 0.750 0.750
11 Ni 0.750 0.250 0.750
12 Ni 0.750 0.750 0.250
13 Ir 0.250 0.250 0.750
14 Ir 0.250 0.750 0.250
15 Ir 0.750 0.250 0.250
16 Ir 0.750 0.750 0.750

SG   F-43m (216)
M_tot   0.0 μB/f.u.

***

Entry two
Density functional theory data (PBE-GGA) for an optimized crystal structure of CaAcNiIr.

Unit cell a=7.348 b=4.242 c=7.796 alpha=90.00 beta=108.39 gamma=90.00
Sites, in units of the cell vectors:
1 Ca 0.000 0.000 0.000
2 Ca 0.500 0.500 0.000
3 Ac 0.169 0.000 0.506
4 Ac 0.669 0.500 0.506
5 Ni 0.415 0.000 0.245
6 Ni 0.915 0.500 0.245
7 Ir 0.252 0.500 0.254
8 Ir 0.752 0.000 0.254

SG   Cm (8)
M_tot   0.0 μB/f.u.

***

Most favorable structure: entry two. The second most favorable one is 0.146 eV/atom above it.

***

Entry one
Density functional theory data (PBE-GGA) for an optimized crystal structure of Ca2Ac7La2.

Unit cell a=7.513 b=7.513 c=10.402 alpha=90.00 beta=90.00 gamma=121.93
Sites, in units of the cell vectors:
1 Ca 0.245 0.245 0.000
2 Ca 0.755 0.755 0.000
3 Ac 0.000 0.000 0.500
4 Ac 0.000 0.500 0.189
5 Ac 0.000 0.500 0.811
6 Ac 0.500 0.000 0.189
7 Ac 0.500 0.000 0.811
8 Ac 0.500 0.500 0.324
9 Ac 0.500 0.500 0.676
10 La 0.270 0.730 0.500
11 La 0.730 0.270 0.500

SG   Cmmm (65)
M_tot   0.0 μB/f.u.

***

Entry two
Density functional theory data (PBE-GGA) for an optimized crystal structure of Ca2Ac7La2.

Unit cell a=7.110 b=7.110 c=9.691 alpha=97.88 beta=97.88 gamma=93.68
Sites, in units of the cell vectors:
1 Ca 0.096 0.096 0.354
2 Ca 0.904 0.904 0.646
3 Ac 0.063 0.431 0.713
4 Ac 0.357 0.357 0.095
5 Ac 0.431 0.063 0.713
6 Ac 0.500 0.500 0.500
7 Ac 0.569 0.937 0.287
8 Ac 0.643 0.643 0.905
9 Ac 0.937 0.569 0.287
10 La 0.169 0.831 0.000
11 La 0.831 0.169 0.000

SG   C2/m (12)
M_tot   0.0 μB/f.u.

***

Most favorable structure: entry two. The second most favorable one is 0.145 eV/atom above it.

***

Entry one
Density functional theory data (PBE-GGA) for an optimized crystal structure of CaAc7La3.

Unit cell a=8.435 b=8.435 c=7.057 alpha=93.74 beta=93.74 gamma=83.57
Sites, in units of the cell vectors:
1 Ca 0.000 0.000 0.000
2 Ac 0.000 0.000 0.500
3 Ac 0.076 0.417 0.755
4 Ac 0.268 0.268 0.282
5 Ac 0.417 0.076 0.755
6 Ac 0.583 0.924 0.245
7 Ac 0.732 0.732 0.718
8 Ac 0.924 0.583 0.245
9 La 0.336 0.664 0.500
10 La 0.500 0.500 0.000
11 La 0.664 0.336 0.500

SG   C2/m (12)
M_tot   0.0 μB/f.u.

***

Entry two
Density functional theory data (PBE-GGA) for an optimized crystal structure of CaAc7La3.

Unit cell a=9.202 b=9.202 c=9.202 alpha=138.03 beta=100.35 gamma=94.40
Sites, in units of the cell vectors:
1 Ca 0.000 0.000 0.000
2 Ac 0.000 0.500 0.500
3 Ac 0.102 0.296 0.805
4 Ac 0.306 0.000 0.306
5 Ac 0.491 0.296 0.195
6 Ac 0.509 0.704 0.805
7 Ac 0.694 0.000 0.694
8 Ac 0.898 0.704 0.195
9 La 0.282 0.782 0.500
10 La 0.500 0.500 0.000
11 La 0.718 0.218 0.500

SG   Immm (71)
M_tot   0.0 μB/f.u.

***

Most favorable structure: entry one. The second most favorable one is 0.009 eV/atom above it.